# TbH2I4, relaxed, DFT PBE-GGA
data_TbH2I4
_chemical_formula_sum 'Tb1 H2 I4'
_cell_length_a 4.1489
_cell_length_b 7.9370
_cell_length_c 8.2886
_cell_angle_alpha 100.76
_cell_angle_beta 104.05
_cell_angle_gamma 90.30
_symmetry_space_group_name_H-M 'P -1'
_symmetry_Int_Tables_number 2
loop_
_symmetry_equiv_pos_as_xyz
'x,y,z'
'-x,-y,-z'
loop_
_atom_site_label
_atom_site_type_symbol
_atom_site_fract_x
_atom_site_fract_y
_atom_site_fract_z
_atom_site_occupancy
Tb1 Tb 0.0000 0.0000 0.0000 1
H1 H 0.3648 0.6753 0.7267 1
I1 I 0.1372 0.3298 0.2771 1
I2 I 0.4059 0.1573 0.8026 1
# electronic total energy	-0.11192	hartree per atom
# M_tot	0.49	μB per formula unit

# LiCa2Mo, relaxed, DFT PBE-GGA
data_LiCa2Mo
_chemical_formula_sum 'Li4 Ca8 Mo4'
_cell_length_a 4.4379
_cell_length_b 4.4379
_cell_length_c 20.7378
_cell_angle_alpha 90.00
_cell_angle_beta 90.00
_cell_angle_gamma 90.00
_symmetry_space_group_name_H-M 'I -4 2 d'
_symmetry_Int_Tables_number 122
_symmetry_space_group_name_Hall 'I -4 2bw'
loop_
_atom_site_label
_atom_site_type_symbol
_atom_site_fract_x
_atom_site_fract_y
_atom_site_fract_z
_atom_site_occupancy
Li1 Li 0.0000 0.0000 0.0000 1
Ca1 Ca 0.2458 0.2500 0.6250 1
Mo1 Mo 0.0000 0.0000 0.5000 1
# electronic total energy	-0.11457	hartree per atom
# M_tot	1.55	μB per formula unit
# calculated formation energy	4.28	eV per formula unit

# Pm2Ho, relaxed, DFT PBE-GGA
data_Pm2Ho
_chemical_formula_sum 'Pm8 Ho4'
_cell_length_a 3.5011
_cell_length_b 3.5011
_cell_length_c 33.2141
_cell_angle_alpha 90.00
_cell_angle_beta 90.00
_cell_angle_gamma 90.00
_symmetry_space_group_name_H-M 'I 41/a m d'
_symmetry_Int_Tables_number 141
loop_
_symmetry_equiv_pos_as_xyz
'x,y,z'
'-x,-y,-z'
'-y+1/4,x+3/4,z+1/4'
'y+1/4,-x+3/4,-z+1/4'
'-x+1/2,-y,z+1/2'
'x+1/2,y,-z+1/2'
'y+1/4,-x+1/4,z+3/4'
'-y+1/4,x+1/4,-z+3/4'
'x,-y,-z'
'-x,y,z'
'-y+1/4,-x+1/4,-z+3/4'
'y+1/4,x+1/4,z+3/4'
'-x+1/2,y,-z+1/2'
'x+1/2,-y,z+1/2'
'y+1/4,x+3/4,-z+1/4'
'-y+1/4,-x+3/4,z+1/4'
'x+1/2,y+1/2,z+1/2'
'-x+1/2,-y+1/2,-z+1/2'
'-y+3/4,x+1/4,z+3/4'
'y+3/4,-x+1/4,-z+3/4'
'-x,-y+1/2,z'
'x,y+1/2,-z'
'y+3/4,-x+3/4,z+1/4'
'-y+3/4,x+3/4,-z+1/4'
'x+1/2,-y+1/2,-z+1/2'
'-x+1/2,y+1/2,z+1/2'
'-y+3/4,-x+3/4,-z+1/4'
'y+3/4,x+3/4,z+1/4'
'-x,y+1/2,-z'
'x,-y+1/2,z'
'y+3/4,x+1/4,-z+3/4'
'-y+3/4,-x+1/4,z+3/4'
loop_
_atom_site_label
_atom_site_type_symbol
_atom_site_fract_x
_atom_site_fract_y
_atom_site_fract_z
_atom_site_occupancy
Pm1 Pm 0.0000 0.2500 0.2971 1
Ho1 Ho 0.0000 0.2500 0.8750 1
# electronic total energy	-0.16742	hartree per atom
# M_tot	0.00	μB per formula unit
# calculated formation energy	0.41	eV per formula unit

# TaV2NiH, relaxed, DFT PBE-GGA
data_TaV2NiH
_chemical_formula_sum 'Ta1 V2 Ni1 H1'
_cell_length_a 3.7137
_cell_length_b 3.7137
_cell_length_c 4.2401
_cell_angle_alpha 90.00
_cell_angle_beta 90.00
_cell_angle_gamma 90.00
_symmetry_space_group_name_H-M 'P 4/m m m'
_symmetry_Int_Tables_number 123
_symmetry_space_group_name_Hall '-P 4 2'
loop_
_atom_site_label
_atom_site_type_symbol
_atom_site_fract_x
_atom_site_fract_y
_atom_site_fract_z
_atom_site_occupancy
Ta1 Ta 0.0000 0.0000 0.0000 1
V1 V 0.0000 0.5000 0.5000 1
Ni1 Ni 0.5000 0.5000 0.0000 1
H1 H 0.0000 0.0000 0.5000 1
# electronic total energy	-0.28976	hartree per atom
# M_tot	0.00	μB per formula unit

# CsLiNb2Cr, relaxed, DFT PBE-GGA
data_CsLiNb2Cr
_chemical_formula_sum 'Cs1 Li1 Nb2 Cr1'
_cell_length_a 4.6356
_cell_length_b 4.6356
_cell_length_c 6.7627
_cell_angle_alpha 90.00
_cell_angle_beta 90.00
_cell_angle_gamma 90.00
_symmetry_space_group_name_H-M 'P 4/m m m'
_symmetry_Int_Tables_number 123
_symmetry_space_group_name_Hall '-P 4 2'
loop_
_atom_site_label
_atom_site_type_symbol
_atom_site_fract_x
_atom_site_fract_y
_atom_site_fract_z
_atom_site_occupancy
Cs1 Cs 0.0000 0.0000 0.0000 1
Li1 Li 0.5000 0.5000 0.0000 1
Nb1 Nb 0.0000 0.5000 0.5000 1
Cr1 Cr 0.0000 0.0000 0.5000 1
# electronic total energy	-0.18669	hartree per atom
# M_tot	0.00	μB per formula unit
# calculated formation energy	7.13	eV per formula unit

# Tl2ReCl, relaxed, DFT PBE-GGA
data_Tl2ReCl
_chemical_formula_sum 'Tl4 Re2 Cl2'
_cell_length_a 4.1463
_cell_length_b 4.1463
_cell_length_c 12.2078
_cell_angle_alpha 90.00
_cell_angle_beta 90.00
_cell_angle_gamma 90.00
_symmetry_space_group_name_H-M 'I -4 m 2'
_symmetry_Int_Tables_number 119
_symmetry_space_group_name_Hall 'I -4 -2'
loop_
_atom_site_label
_atom_site_type_symbol
_atom_site_fract_x
_atom_site_fract_y
_atom_site_fract_z
_atom_site_occupancy
Tl1 Tl 0.0000 0.0000 0.0000 1
Tl2 Tl 0.0000 0.5000 0.2500 1
Re1 Re 0.0000 0.0000 0.5000 1
Cl1 Cl 0.0000 0.5000 0.7500 1
# electronic total energy	-0.14256	hartree per atom
# M_tot	3.22	μB per formula unit
# formation energy without anion corrections	0.878	eV/atom

# Ca3Mg2Zn2, relaxed, DFT PBE-GGA
data_Ca3Mg2Zn2
_chemical_formula_sum 'Ca3 Mg2 Zn2'
_cell_length_a 4.5386
_cell_length_b 6.0708
_cell_length_c 7.5750
_cell_angle_alpha 81.56
_cell_angle_beta 89.93
_cell_angle_gamma 68.15
_symmetry_space_group_name_H-M 'P -1'
_symmetry_Int_Tables_number 2
loop_
_symmetry_equiv_pos_as_xyz
'x,y,z'
'-x,-y,-z'
loop_
_atom_site_label
_atom_site_type_symbol
_atom_site_fract_x
_atom_site_fract_y
_atom_site_fract_z
_atom_site_occupancy
Ca1 Ca 0.0000 0.0000 0.0000 1
Ca2 Ca 0.3681 0.2632 0.6349 1
Mg1 Mg 0.3112 0.3771 0.1508 1
Zn1 Zn 0.0842 0.8319 0.6376 1
# electronic total energy	-0.06725	hartree per atom
# M_tot	0.00	μB per formula unit
# calculated formation energy	-1.07	eV per formula unit

# Ac2NdDy, relaxed, DFT PBE-GGA
data_Ac2NdDy
_chemical_formula_sum 'Ac2 Nd1 Dy1'
_cell_length_a 3.8747
_cell_length_b 3.8747
_cell_length_c 10.3080
_cell_angle_alpha 90.00
_cell_angle_beta 90.00
_cell_angle_gamma 90.00
_symmetry_space_group_name_H-M 'P 4/m m m'
_symmetry_Int_Tables_number 123
_symmetry_space_group_name_Hall '-P 4 2'
loop_
_atom_site_label
_atom_site_type_symbol
_atom_site_fract_x
_atom_site_fract_y
_atom_site_fract_z
_atom_site_occupancy
Ac1 Ac 0.0000 0.0000 0.2452 1
Nd1 Nd 0.5000 0.5000 0.5000 1
Dy1 Dy 0.5000 0.5000 0.0000 1
# electronic total energy	-0.16001	hartree per atom
# M_tot	0.00	μB per formula unit
# calculated formation energy	0.17	eV per formula unit

# RbGePt2Pb, relaxed, DFT PBE-GGA
data_RbGePt2Pb
_chemical_formula_sum 'Rb2 Ge2 Pt4 Pb2'
_cell_length_a 7.4293
_cell_length_b 4.3030
_cell_length_c 9.5529
_cell_angle_alpha 90.00
_cell_angle_beta 103.13
_cell_angle_gamma 90.00
_symmetry_space_group_name_H-M 'P 1 21/m 1'
_symmetry_Int_Tables_number 11
loop_
_symmetry_equiv_pos_as_xyz
'x,y,z'
'-x,-y,-z'
'-x,y+1/2,-z'
'x,-y+1/2,z'
loop_
_atom_site_label
_atom_site_type_symbol
_atom_site_fract_x
_atom_site_fract_y
_atom_site_fract_z
_atom_site_occupancy
Rb1 Rb 0.0566 0.2500 0.2641 1
Ge1 Ge 0.2934 0.7500 0.5437 1
Pt1 Pt 0.4698 0.7500 0.7954 1
Pt2 Pt 0.4722 0.2500 0.6032 1
Pb1 Pb 0.3462 0.7500 0.0588 1
# electronic total energy	-0.16868	hartree per atom
# M_tot	0.00	μB per formula unit
# calculated formation energy	-1.58	eV per formula unit

# Nd2Al3Zn4In, relaxed, DFT PBE-GGA
data_Nd2Al3Zn4In
_chemical_formula_sum 'Nd2 Al3 Zn4 In1'
_cell_length_a 4.3061
_cell_length_b 4.3061
_cell_length_c 10.9090
_cell_angle_alpha 90.00
_cell_angle_beta 90.00
_cell_angle_gamma 90.00
_symmetry_space_group_name_H-M 'P -4 m 2'
_symmetry_Int_Tables_number 115
loop_
_symmetry_equiv_pos_as_xyz
'x,y,z'
'y,-x,-z'
'-x,-y,z'
'-y,x,-z'
'-x,y,z'
'-y,-x,-z'
'x,-y,z'
'y,x,-z'
loop_
_atom_site_label
_atom_site_type_symbol
_atom_site_fract_x
_atom_site_fract_y
_atom_site_fract_z
_atom_site_occupancy
Nd1 Nd 0.0000 0.5000 0.2410 1
Al1 Al 0.0000 0.5000 0.8720 1
Al2 Al 0.5000 0.5000 0.5000 1
Zn1 Zn 0.0000 0.0000 0.0000 1
Zn2 Zn 0.0000 0.5000 0.6479 1
Zn3 Zn 0.5000 0.5000 0.0000 1
In1 In 0.0000 0.0000 0.5000 1
# electronic total energy	-0.11945	hartree per atom
# M_tot	0.00	μB per formula unit
# calculated formation energy	-3.91	eV per formula unit

# YPuI4, relaxed, DFT PBE-GGA
data_YPuI4
_chemical_formula_sum 'Y1 Pu1 I4'
_cell_length_a 7.4083
_cell_length_b 4.2410
_cell_length_c 7.8809
_cell_angle_alpha 90.00
_cell_angle_beta 90.54
_cell_angle_gamma 90.00
_symmetry_space_group_name_H-M 'P 1 2/m 1'
_symmetry_Int_Tables_number 10
loop_
_symmetry_equiv_pos_as_xyz
'x,y,z'
'-x,-y,-z'
'-x,y,-z'
'x,-y,z'
loop_
_atom_site_label
_atom_site_type_symbol
_atom_site_fract_x
_atom_site_fract_y
_atom_site_fract_z
_atom_site_occupancy
Y1 Y 0.0000 0.0000 0.0000 1
Pu1 Pu 0.5000 0.5000 0.0000 1
I1 I 0.1628 0.5000 0.2448 1
I2 I 0.3210 0.0000 0.7518 1
# electronic total energy	-0.20748	hartree per atom
# M_tot	6.79	μB per formula unit
# formation energy without anion corrections	-1.146	eV/atom

# Pr7TmSc4, relaxed, DFT PBE-GGA
data_Pr7TmSc4
_chemical_formula_sum 'Pr7 Tm1 Sc4'
_cell_length_a 6.2135
_cell_length_b 7.1424
_cell_length_c 8.7835
_cell_angle_alpha 89.94
_cell_angle_beta 76.49
_cell_angle_gamma 89.85
_symmetry_space_group_name_H-M 'P -1'
_symmetry_Int_Tables_number 2
loop_
_symmetry_equiv_pos_as_xyz
'x,y,z'
'-x,-y,-z'
loop_
_atom_site_label
_atom_site_type_symbol
_atom_site_fract_x
_atom_site_fract_y
_atom_site_fract_z
_atom_site_occupancy
Pr1 Pr 0.0000 0.0000 0.0000 1
Pr2 Pr 0.2225 0.5017 0.3351 1
Pr3 Pr 0.2905 0.2455 0.6591 1
Pr4 Pr 0.4976 0.7576 0.9875 1
Tm1 Tm 0.0000 0.5000 0.0000 1
Sc1 Sc 0.2113 0.9991 0.3422 1
Sc2 Sc 0.2689 0.7597 0.6639 1
# electronic total energy	-0.19205	hartree per atom
# M_tot	0.00	μB per formula unit
# calculated formation energy	0.54	eV per formula unit

# Li3MgPa3Se8, relaxed, DFT PBE-GGA
data_Li3MgPa3Se8
_chemical_formula_sum 'Li9 Mg3 Pa9 Se24'
_cell_length_a 8.0419
_cell_length_b 8.0419
_cell_length_c 19.7211
_cell_angle_alpha 90.00
_cell_angle_beta 90.00
_cell_angle_gamma 120.00
_symmetry_space_group_name_H-M 'R -3 m'
_symmetry_Int_Tables_number 166
_symmetry_space_group_name_Hall '-R 3 2"'
loop_
_atom_site_label
_atom_site_type_symbol
_atom_site_fract_x
_atom_site_fract_y
_atom_site_fract_z
_atom_site_occupancy
Li1 Li 0.0000 0.5000 0.0000 1
Mg1 Mg 0.0000 0.0000 0.5000 1
Pa1 Pa 0.0000 0.5000 0.5000 1
Se1 Se 0.0000 0.0000 0.2548 1
Se2 Se 0.0086 0.5043 0.2492 1
# electronic total energy	-0.20314	hartree per atom
# M_tot	4.01	μB per formula unit
# formation energy without anion corrections	-1.281	eV/atom